# 1
SrMg8 | meta-GGA SCAN | PBEsol geometry

## Properties
Magnetic moment in μB per cell: 0.0
DFT formation energy in meV per atom: 30
Fermi-level density of states in states/eV per cell: 3.61

a b c (Å): 7.2904 7.2904 7.2904
angles (deg): 96.15 96.15 141.79
Positions (direct):
Sr: 0.0000 0.0000 0.0000
Mg: 0.0000 0.3434 0.3434
Mg: 0.0000 0.6566 0.6566
Mg: 0.3230 0.3230 0.6460
Mg: 0.3230 0.6770 0.0000
Mg: 0.3434 0.0000 0.3434
Mg: 0.6566 0.0000 0.6566
Mg: 0.6770 0.3230 0.0000
Mg: 0.6770 0.6770 0.3540

# 2
InAg2 | meta-GGA SCAN | PBEsol geometry

## Properties
Magnetic moment in μB per cell: 0.0
DFT formation energy in meV per atom: 180
Fermi-level density of states in states/eV per cell: 0.69

a b c (Å): 4.6498 4.6498 3.0498
angles (deg): 90.00 90.00 90.00
Positions (direct):
In: 0.0000 0.0000 0.0000
Ag: 0.0000 0.5000 0.5000
Ag: 0.5000 0.0000 0.5000

# 3
FeCuRe | meta-GGA SCAN | PBEsol geometry

## Properties
Magnetic moment in μB per cell: 1.8
DFT formation energy in meV per atom: 603
Fermi-level density of states in states/eV per cell: 1.04
Excess energy over the best structure of this formula in the dataset in meV/atom: 410.4

a b c (Å): 3.8782 3.8782 3.8782
angles (deg): 60.00 60.00 60.00
Positions (direct):
Fe: 0.0000 0.0000 0.0000
Cu: 0.7500 0.7500 0.7500
Re: 0.2500 0.2500 0.2500

# 4
CrInCu | meta-GGA SCAN | PBEsol geometry

## Properties
Magnetic moment in μB per cell: 3.6
DFT formation energy in meV per atom: 156
Fermi-level density of states in states/eV per cell: 1.34

a b c (Å): 5.4157 5.4157 5.4157
angles (deg): 147.25 147.25 47.00
Positions (direct):
Cr: 0.0000 0.0000 0.0000
In: 0.3134 0.3134 0.0000
Cu: 0.6436 0.6436 0.0000

Question: Which formula does entry 1 have?
Answer: SrMg8

Copy entry 2 word for word.
InAg2 | meta-GGA SCAN | PBEsol geometry

## Properties
Magnetic moment in μB per cell: 0.0
DFT formation energy in meV per atom: 180
Fermi-level density of states in states/eV per cell: 0.69

a b c (Å): 4.6498 4.6498 3.0498
angles (deg): 90.00 90.00 90.00
Positions (direct):
In: 0.0000 0.0000 0.0000
Ag: 0.0000 0.5000 0.5000
Ag: 0.5000 0.0000 0.5000